Entry 1:
# VTcSe

A geometry-optimized VTcSe structure (GGA-PBE, the Alexandria database).

a = 10.979 Å, b = 3.124 Å, c = 5.351 Å
α = 90.00°, β = 90.00°, γ = 90.00°
Space group Amm2 (No. 38)
One atom of each set of equivalent atoms:
1 V 0.000 0.000 0.000 x2
2 V 0.500 0.000 0.388 x2
3 Tc 0.325 0.000 0.001 x4
4 Se 0.154 0.000 0.334 x4

Computed properties:
Uncorrected formation energy: -0.020 eV per atom
Magnetization: 0.000 μB per atom
Energy: -7.677 eV/atom

=====

Entry 2:
# AcTbErSn

A geometry-optimized AcTbErSn structure (GGA-PBE, the Alexandria database).

a = 7.837 Å, b = 7.837 Å, c = 7.837 Å
α = 90.00°, β = 90.00°, γ = 90.00°
Space group F-43m (No. 216)
One atom of each set of equivalent atoms:
1 Ac 0.000 0.000 0.000 x4
2 Tb 0.250 0.250 0.250 x4
3 Er 0.250 0.250 0.750 x4
4 Sn 0.000 0.000 0.500 x4

Computed properties:
Magnetization: 0.000 μB per atom
Energy: -4.478 eV/atom

=====

> What is the magnetization in the second record?

0.000 μB per atom